[1]
Tb2ScPa: relaxed, GGA-PBE.

Summary:
- N(E_F) (states/eV/f.u.) = 6.4
- energy of formation (eV per atom) = 0.125
- total moment (Bohr magnetons per cell) = 0.0
- offset from the most stable computed form (eV per formula unit) = 0.00

Cell lengths 3.377, 3.377, 11.418 Å; angles 81.50, 81.50, 60.00 degrees
Fractional positions:
Tb: 0.083 0.083 0.751
Tb: 0.250 0.250 0.250
Sc: 0.666 0.666 0.001
Pa: 0.500 0.500 0.499

[2]
TbSc2Pa: relaxed, GGA-PBE.

Summary:
- N(E_F) (states/eV/f.u.) = 6.5
- energy of formation (eV per atom) = 0.224
- total moment (Bohr magnetons per cell) = 0.0
- offset from the most stable computed form (eV per formula unit) = 0.60

Cell lengths 5.303, 5.303, 5.303 Å; angles 60.00, 60.00, 60.00 degrees
Fractional positions:
Sc: 0.250 0.250 0.250
Sc: 0.750 0.750 0.750
Pa: 0.500 0.500 0.500
Tb: 0.000 0.000 0.000

[3]
TbSc2Pa: relaxed, GGA-PBE.

Summary:
- N(E_F) (states/eV/f.u.) = 6.2
- energy of formation (eV per atom) = 0.083
- total moment (Bohr magnetons per cell) = 0.0
- offset from the most stable computed form (eV per formula unit) = 0.03

Cell lengths 3.329, 3.329, 11.008 Å; angles 81.30, 81.30, 60.00 degrees
Fractional positions:
Sc: 0.746 0.746 0.763
Sc: 0.254 0.254 0.237
Pa: 0.000 0.000 0.000
Tb: 0.500 0.500 0.500